Record 1
First-principles (PBE) data for a geometry-optimized Pr12Er7Tm structure, as listed in Alexandria via LeMat-Bulk.

Computed properties:
DOS at the Fermi energy ... 1.843 states/eV per atom
Magnetic moment ... 0.00 μB/f.u.
Raw total energy ... -89.2 eV/cell
Formation energy ... 0.23 eV per atom

Cell: 8.8395 8.8395 8.8395 Å, 88.47 88.47 88.47°
Element x y z (fractional)
Pr 0.0133 0.3587 0.8909
Pr 0.1091 0.9867 0.6414
Pr 0.2264 0.7579 0.3535
Pr 0.2421 0.6465 0.7736
Pr 0.3535 0.2264 0.7579
Pr 0.3587 0.8909 0.0133
Pr 0.6414 0.1091 0.9867
Pr 0.6465 0.7736 0.2421
Pr 0.7579 0.3535 0.2264
Pr 0.7736 0.2421 0.6465
Pr 0.8909 0.0133 0.3587
Pr 0.9867 0.6414 0.1091
Er 0.0000 0.0000 0.0000
Er 0.1160 0.3554 0.4341
Er 0.3554 0.4341 0.1160
Er 0.4341 0.1160 0.3554
Er 0.5659 0.8840 0.6446
Er 0.6446 0.5659 0.8840
Er 0.8840 0.6446 0.5659
Tm 0.5000 0.5000 0.5000

Record 2
First-principles (PBE) data for a geometry-optimized Pr4Er4Tm3 structure, as listed in Alexandria via LeMat-Bulk.

Computed properties:
DOS at the Fermi energy ... 1.663 states/eV per atom
Magnetic moment ... 0.00 μB/f.u.
Raw total energy ... -50.0 eV/cell
Formation energy ... 0.07 eV per atom

Cell: 3.5184 5.6654 18.0945 Å, 80.99 84.42 90.00°
Element x y z (fractional)
Pr 0.0900 0.0902 0.3192
Pr 0.2312 0.7310 0.0378
Pr 0.7688 0.2690 0.9622
Pr 0.9100 0.9098 0.6808
Er 0.0448 0.5450 0.4097
Er 0.1801 0.1803 0.1392
Er 0.8199 0.8197 0.8608
Er 0.9552 0.4550 0.5903
Tm 0.3652 0.3651 0.7705
Tm 0.5000 0.0000 0.5000
Tm 0.6348 0.6349 0.2295

Record 3
First-principles (PBE) data for a geometry-optimized Pr6Y2Er3Tm structure, as listed in Alexandria via LeMat-Bulk.

Computed properties:
DOS at the Fermi energy ... 1.057 states/eV per atom
Magnetic moment ... 0.00 μB/f.u.
Raw total energy ... -59.6 eV/cell
Formation energy ... 0.01 eV per atom

Cell: 6.2952 6.2952 11.8441 Å, 95.08 95.08 119.99°
Element x y z (fractional)
Pr 0.0840 0.4162 0.7511
Pr 0.2483 0.2483 0.2489
Pr 0.4162 0.0840 0.7511
Pr 0.5838 0.9160 0.2489
Pr 0.7517 0.7517 0.7511
Pr 0.9160 0.5838 0.2489
Y 0.3333 0.6667 0.5000
Y 0.6667 0.3333 0.5000
Er 0.1666 0.8334 0.0000
Er 0.5000 0.5000 0.0000
Er 0.8334 0.1666 0.0000
Tm 0.0000 0.0000 0.5000

Record 4
First-principles (PBE) data for a geometry-optimized Pr2YEr3Tm6 structure, as listed in Alexandria via LeMat-Bulk.

Computed properties:
DOS at the Fermi energy ... 1.377 states/eV per atom
Magnetic moment ... 0.00 μB/f.u.
Raw total energy ... -56.2 eV/cell
Formation energy ... 0.03 eV per atom

Cell: 6.1289 6.1289 11.6975 Å, 95.00 95.00 119.95°
Element x y z (fractional)
Pr 0.1667 0.8333 0.0000
Pr 0.8333 0.1667 0.0000
Y 0.5000 0.5000 0.0000
Er 0.0000 0.0000 0.5000
Er 0.3335 0.6665 0.5000
Er 0.6665 0.3335 0.5000
Tm 0.0814 0.4145 0.7456
Tm 0.2526 0.2526 0.2546
Tm 0.4145 0.0814 0.7456
Tm 0.5855 0.9186 0.2544
Tm 0.7474 0.7474 0.7454
Tm 0.9186 0.5855 0.2544

Record 5
First-principles (PBE) data for a geometry-optimized Pr2Y3ErTm6 structure, as listed in Alexandria via LeMat-Bulk.

Computed properties:
DOS at the Fermi energy ... 1.399 states/eV per atom
Magnetic moment ... 0.01 μB/f.u.
Raw total energy ... -60.0 eV/cell
Formation energy ... 0.03 eV per atom

Cell: 6.1494 6.1494 11.7369 Å, 95.00 95.00 119.96°
Element x y z (fractional)
Pr 0.1665 0.8335 0.0000
Pr 0.8335 0.1665 0.0000
Y 0.0000 0.0000 0.5000
Y 0.3335 0.6665 0.5000
Y 0.6665 0.3335 0.5000
Er 0.5000 0.5000 0.0000
Tm 0.0834 0.4158 0.7484
Tm 0.2519 0.2519 0.2518
Tm 0.4158 0.0834 0.7484
Tm 0.5842 0.9166 0.2516
Tm 0.7481 0.7481 0.7482
Tm 0.9166 0.5842 0.2516

Record 6
First-principles (PBE) data for a geometry-optimized PrYEr2Tm2 structure, as listed in Alexandria via LeMat-Bulk.

Computed properties:
DOS at the Fermi energy ... 1.491 states/eV per atom
Magnetic moment ... 0.00 μB/f.u.
Raw total energy ... -56.5 eV/cell
Formation energy ... 0.18 eV per atom

Cell: 6.9159 16.0024 3.5217 Å, 90.00 90.00 90.00°
Element x y z (fractional)
Pr 0.0000 0.0000 0.0000
Pr 0.5000 0.5000 0.5000
Y 0.0000 0.5000 0.5000
Y 0.5000 0.0000 0.0000
Er 0.2505 0.1582 0.5000
Er 0.2495 0.6582 0.0000
Er 0.7505 0.3418 0.0000
Er 0.7495 0.8418 0.5000
Tm 0.2502 0.3431 0.0000
Tm 0.2498 0.8431 0.5000
Tm 0.7502 0.1569 0.5000
Tm 0.7498 0.6569 0.0000

Record 7
First-principles (PBE) data for a geometry-optimized Pr2YErTm structure, as listed in Alexandria via LeMat-Bulk.

Computed properties:
DOS at the Fermi energy ... 1.252 states/eV per atom
Magnetic moment ... 0.00 μB/f.u.
Raw total energy ... -46.0 eV/cell
Formation energy ... 0.41 eV per atom

Cell: 7.1597 7.1597 7.3059 Å, 90.00 90.00 107.76°
Element x y z (fractional)
Pr 0.1961 0.1961 0.0000
Pr 0.1961 0.1961 0.5000
Pr 0.8039 0.8039 0.0000
Pr 0.8039 0.8039 0.5000
Y 0.2424 0.7576 0.7500
Y 0.7576 0.2424 0.2500
Er 0.2138 0.7862 0.2500
Er 0.7862 0.2138 0.7500
Tm 0.4783 0.5217 0.2500
Tm 0.5217 0.4783 0.7500

Record 8
First-principles (PBE) data for a geometry-optimized Pr6Y3ErTm2 structure, as listed in Alexandria via LeMat-Bulk.

Computed properties:
DOS at the Fermi energy ... 1.074 states/eV per atom
Magnetic moment ... 0.00 μB/f.u.
Raw total energy ... -61.4 eV/cell
Formation energy ... 0.01 eV per atom

Cell: 6.2993 6.2993 11.8565 Å, 95.08 95.08 119.99°
Element x y z (fractional)
Pr 0.0833 0.4168 0.7524
Pr 0.2497 0.2497 0.2477
Pr 0.4168 0.0833 0.7524
Pr 0.5832 0.9167 0.2476
Pr 0.7503 0.7503 0.7523
Pr 0.9167 0.5832 0.2476
Y 0.0000 0.0000 0.5000
Y 0.3333 0.6667 0.5000
Y 0.6667 0.3333 0.5000
Er 0.5000 0.5000 0.0000
Tm 0.1666 0.8334 0.0000
Tm 0.8334 0.1666 0.0000

Record 9
First-principles (PBE) data for a geometry-optimized Pr2Y4ErTm2 structure, as listed in Alexandria via LeMat-Bulk.

Computed properties:
DOS at the Fermi energy ... 1.644 states/eV per atom
Magnetic moment ... 0.00 μB/f.u.
Raw total energy ... -48.2 eV/cell
Formation energy ... 0.08 eV per atom

Cell: 5.9894 6.6337 8.6700 Å, 80.30 70.34 65.11°
Element x y z (fractional)
Pr 0.2322 0.3171 0.3443
Pr 0.7678 0.6829 0.6557
Y 0.1073 0.1285 0.7647
Y 0.2473 0.5701 0.8835
Y 0.7527 0.4299 0.1165
Y 0.8927 0.8715 0.2353
Er 0.5000 0.0000 0.0000
Tm 0.3229 0.7676 0.4474
Tm 0.6771 0.2324 0.5526

Record 10
First-principles (PBE) data for a geometry-optimized Pr2Y3Er6Tm structure, as listed in Alexandria via LeMat-Bulk.

Computed properties:
DOS at the Fermi energy ... 1.369 states/eV per atom
Magnetic moment ... 0.00 μB/f.u.
Raw total energy ... -60.5 eV/cell
Formation energy ... 0.02 eV per atom

Cell: 6.1590 6.1590 11.7773 Å, 94.99 94.99 119.96°
Element x y z (fractional)
Pr 0.1665 0.8335 0.0000
Pr 0.8335 0.1665 0.0000
Y 0.0000 0.0000 0.5000
Y 0.3336 0.6664 0.5000
Y 0.6664 0.3336 0.5000
Er 0.0836 0.4158 0.7484
Er 0.2523 0.2523 0.2519
Er 0.4158 0.0836 0.7484
Er 0.5842 0.9164 0.2516
Er 0.7477 0.7477 0.7481
Er 0.9164 0.5842 0.2516
Tm 0.5000 0.5000 0.0000

Record 11
First-principles (PBE) data for a geometry-optimized Pr6Y2ErTm structure, as listed in Alexandria via LeMat-Bulk.

Computed properties:
DOS at the Fermi energy ... 1.477 states/eV per atom
Magnetic moment ... 0.00 μB/f.u.
Raw total energy ... -98.9 eV/cell
Formation energy ... 0.12 eV per atom

Cell: 9.0308 9.0308 9.6167 Å, 93.48 93.48 117.35°
Element x y z (fractional)
Pr 0.0053 0.5643 0.1910
Pr 0.1162 0.7661 0.5561
Pr 0.2339 0.8838 0.9439
Pr 0.2927 0.5151 0.3842
Pr 0.4357 0.9947 0.3090
Pr 0.4849 0.7073 0.1158
Pr 0.5151 0.2927 0.8842
Pr 0.5643 0.0053 0.6910
Pr 0.7073 0.4849 0.6158
Pr 0.7661 0.1162 0.0561
Pr 0.8838 0.2339 0.4439
Pr 0.9947 0.4357 0.8090
Y 0.2018 0.2958 0.0479
Y 0.2958 0.2018 0.5479
Y 0.7042 0.7982 0.4521
Y 0.7982 0.7042 0.9521
Er 0.0302 0.9698 0.2500
Er 0.9698 0.0302 0.7500
Tm 0.4127 0.5873 0.7500
Tm 0.5873 0.4127 0.2500

Record 12
First-principles (PBE) data for a geometry-optimized Pr2Y5ErTm structure, as listed in Alexandria via LeMat-Bulk.

Computed properties:
DOS at the Fermi energy ... 1.390 states/eV per atom
Magnetic moment ... 0.00 μB/f.u.
Raw total energy ... -97.1 eV/cell
Formation energy ... 0.26 eV per atom

Cell: 10.0417 10.0417 10.0417 Å, 129.32 129.32 74.50°
Element x y z (fractional)
Pr 0.1188 0.6188 0.7377
Pr 0.3812 0.1188 0.5000
Pr 0.6188 0.8812 0.5000
Pr 0.8812 0.3812 0.2623
Y 0.0000 0.0000 0.0000
Y 0.0721 0.1446 0.5000
Y 0.1446 0.6446 0.0725
Y 0.3554 0.4279 0.5000
Y 0.4279 0.9279 0.0725
Y 0.5000 0.5000 0.0000
Y 0.5721 0.0721 0.9275
Y 0.6446 0.5721 0.5000
Y 0.8554 0.3554 0.9275
Y 0.9279 0.8554 0.5000
Er 0.2500 0.7500 0.5000
Er 0.7500 0.2500 0.5000
Tm 0.2500 0.2500 0.0000
Tm 0.7500 0.7500 0.0000

Record 13
First-principles (PBE) data for a geometry-optimized Pr2Y4Er2Tm structure, as listed in Alexandria via LeMat-Bulk.

Computed properties:
DOS at the Fermi energy ... 1.408 states/eV per atom
Magnetic moment ... 0.00 μB/f.u.
Raw total energy ... -49.0 eV/cell
Formation energy ... 0.00 eV per atom

Cell: 9.5331 9.5331 9.5897 Å, 115.19 115.19 21.86°
Element x y z (fractional)
Pr 0.1648 0.1648 0.4961
Pr 0.8352 0.8352 0.5039
Y 0.0196 0.0196 0.8357
Y 0.3142 0.3142 0.1649
Y 0.6858 0.6858 0.8351
Y 0.9804 0.9804 0.1643
Er 0.3528 0.3528 0.8376
Er 0.6472 0.6472 0.1624
Tm 0.5000 0.5000 0.5000

Record 14
First-principles (PBE) data for a geometry-optimized Pr2YEr6Tm3 structure, as listed in Alexandria via LeMat-Bulk.

Computed properties:
DOS at the Fermi energy ... 1.388 states/eV per atom
Magnetic moment ... 0.00 μB/f.u.
Raw total energy ... -56.5 eV/cell
Formation energy ... 0.03 eV per atom

Cell: 6.1365 6.1365 11.7287 Å, 95.00 95.00 119.94°
Element x y z (fractional)
Pr 0.1666 0.8334 0.0000
Pr 0.8334 0.1666 0.0000
Y 0.5000 0.5000 0.0000
Er 0.0810 0.4141 0.7451
Er 0.2532 0.2532 0.2551
Er 0.4141 0.0810 0.7451
Er 0.5859 0.9190 0.2549
Er 0.7468 0.7468 0.7449
Er 0.9190 0.5859 0.2549
Tm 0.0000 0.0000 0.5000
Tm 0.3336 0.6664 0.5000
Tm 0.6664 0.3336 0.5000

Record 15
First-principles (PBE) data for a geometry-optimized PrY4Er2Tm2 structure, as listed in Alexandria via LeMat-Bulk.

Computed properties:
DOS at the Fermi energy ... 1.455 states/eV per atom
Magnetic moment ... 0.00 μB/f.u.
Raw total energy ... -48.7 eV/cell
Formation energy ... 0.00 eV per atom

Cell: 9.4802 9.4802 9.5273 Å, 115.24 115.24 21.80°
Element x y z (fractional)
Pr 0.0000 0.0000 0.0000
Y 0.1863 0.1863 0.3346
Y 0.4813 0.4813 0.6631
Y 0.5187 0.5187 0.3369
Y 0.8137 0.8137 0.6654
Er 0.1487 0.1487 0.6679
Er 0.8513 0.8513 0.3321
Tm 0.3314 0.3314 0.0006
Tm 0.6686 0.6686 0.9994

Record 16
First-principles (PBE) data for a geometry-optimized Pr3YEr2Tm6 structure, as listed in Alexandria via LeMat-Bulk.

Computed properties:
DOS at the Fermi energy ... 1.383 states/eV per atom
Magnetic moment ... 0.00 μB/f.u.
Raw total energy ... -56.4 eV/cell
Formation energy ... 0.03 eV per atom

Cell: 6.1710 6.1710 11.7202 Å, 95.03 95.03 119.97°
Element x y z (fractional)
Pr 0.0000 0.0000 0.0000
Pr 0.3333 0.6667 0.0000
Pr 0.6667 0.3333 0.0000
Y 0.5000 0.5000 0.5000
Er 0.1667 0.8333 0.5000
Er 0.8333 0.1667 0.5000
Tm 0.0838 0.4180 0.2546
Tm 0.2478 0.2478 0.7455
Tm 0.4180 0.0838 0.2546
Tm 0.5820 0.9162 0.7454
Tm 0.7522 0.7522 0.2545
Tm 0.9162 0.5820 0.7454

Record 17
First-principles (PBE) data for a geometry-optimized Pr3Y2ErTm6 structure, as listed in Alexandria via LeMat-Bulk.

Computed properties:
DOS at the Fermi energy ... 1.391 states/eV per atom
Magnetic moment ... 0.00 μB/f.u.
Raw total energy ... -58.3 eV/cell
Formation energy ... 0.03 eV per atom

Cell: 6.1801 6.1801 11.7363 Å, 95.03 95.03 119.96°
Element x y z (fractional)
Pr 0.0000 0.0000 0.0000
Pr 0.3332 0.6668 0.0000
Pr 0.6668 0.3332 0.0000
Y 0.1666 0.8334 0.5000
Y 0.8334 0.1666 0.5000
Er 0.5000 0.5000 0.5000
Tm 0.0858 0.4183 0.2539
Tm 0.2493 0.2493 0.7462
Tm 0.4183 0.0858 0.2539
Tm 0.5817 0.9142 0.7461
Tm 0.7507 0.7507 0.2538
Tm 0.9142 0.5817 0.7461

Record 18
First-principles (PBE) data for a geometry-optimized PrY5ErTm2 structure, as listed in Alexandria via LeMat-Bulk.

Computed properties:
DOS at the Fermi energy ... 1.697 states/eV per atom
Magnetic moment ... 0.00 μB/f.u.
Raw total energy ... -98.4 eV/cell
Formation energy ... 0.16 eV per atom

Cell: 10.4550 10.4550 10.5081 Å, 90.00 90.00 148.83°
Element x y z (fractional)
Pr 0.1967 0.8033 0.5000
Pr 0.8033 0.1967 0.0000
Y 0.0157 0.9843 0.5082
Y 0.2782 0.7218 0.7987
Y 0.3016 0.6984 0.1899
Y 0.3905 0.6095 0.5104
Y 0.4784 0.5216 0.2229
Y 0.5216 0.4784 0.7229
Y 0.6095 0.3905 0.0104
Y 0.6984 0.3016 0.6899
Y 0.7218 0.2782 0.2987
Y 0.9843 0.0157 0.0082
Er 0.4126 0.5874 0.9353
Er 0.5874 0.4126 0.4353
Tm 0.1101 0.8899 0.2218
Tm 0.1122 0.8878 0.8033
Tm 0.8878 0.1122 0.3033
Tm 0.8899 0.1101 0.7218

Record 19
First-principles (PBE) data for a geometry-optimized PrYErTm2 structure, as listed in Alexandria via LeMat-Bulk.

Computed properties:
DOS at the Fermi energy ... 1.341 states/eV per atom
Magnetic moment ... 0.00 μB/f.u.
Raw total energy ... -45.7 eV/cell
Formation energy ... 0.38 eV per atom

Cell: 7.0882 7.0882 7.2039 Å, 90.00 90.00 107.73°
Element x y z (fractional)
Pr 0.2281 0.7719 0.7500
Pr 0.7719 0.2281 0.2500
Y 0.4976 0.5024 0.2500
Y 0.5024 0.4976 0.7500
Er 0.2175 0.7825 0.2500
Er 0.7825 0.2175 0.7500
Tm 0.1881 0.1881 0.0000
Tm 0.1881 0.1881 0.5000
Tm 0.8119 0.8119 0.0000
Tm 0.8119 0.8119 0.5000

Record 20
First-principles (PBE) data for a geometry-optimized PrY2ErTm structure, as listed in Alexandria via LeMat-Bulk.

Computed properties:
DOS at the Fermi energy ... 1.336 states/eV per atom
Magnetic moment ... 0.00 μB/f.u.
Raw total energy ... -49.7 eV/cell
Formation energy ... 0.38 eV per atom

Cell: 7.1105 7.1105 7.2399 Å, 90.00 90.00 107.50°
Element x y z (fractional)
Pr 0.2311 0.7689 0.7500
Pr 0.7689 0.2311 0.2500
Y 0.1914 0.1914 0.0000
Y 0.1914 0.1914 0.5000
Y 0.8086 0.8086 0.0000
Y 0.8086 0.8086 0.5000
Er 0.4991 0.5009 0.2500
Er 0.5009 0.4991 0.7500
Tm 0.2219 0.7781 0.2500
Tm 0.7781 0.2219 0.7500